Entry from Alexandria via LeMat-Bulk: a relaxed Ba2GaSb crystal (GGA-PBE).

Values from the calculation:
Energy relative to the lowest polymorph listed for this composition in eV/atom: 0.051

Cell: 8.3669 8.3669 8.3669 Å, 90.00 90.00 90.00°
Space group Fm-3m (No. 225)
One atom of each set of equivalent atoms:
Ba 0.2500 0.2500 0.2500 [8 per cell]
Ga 0.0000 0.0000 0.0000 [4 per cell]
Sb 0.0000 0.0000 0.5000 [4 per cell]